(1)
# ZnCu2Re | the Alexandria database | PBE-GGA | optimized geometry
data_ZnCu2Re
_cell_length_a 8.8768
_cell_length_b 2.5602
_cell_length_c 4.7708
_cell_angle_alpha 90.00
_cell_angle_beta 99.23
_cell_angle_gamma 90.00
_symmetry_space_group_name_H-M 'C 1 m 1'
_symmetry_Int_Tables_number 8
loop_
_symmetry_equiv_pos_as_xyz
'x,y,z'
'x,-y,z'
'x+1/2,y+1/2,z'
'x+1/2,-y+1/2,z'
loop_
_atom_site_label
_atom_site_type_symbol
_atom_site_fract_x
_atom_site_fract_y
_atom_site_fract_z
Zn1 Zn 0.0000 0.0000 0.0000
Cu1 Cu 0.0052 0.5000 0.5056
Cu2 Cu 0.2531 0.0000 0.7534
Re1 Re 0.2538 0.5000 0.2588
# Mass density in kg/m³: 11752
# Distance to the lowest polymorph of the same formula in meV/atom: 112
# Raw total energy in eV per atom: -5.237
# E_form in eV/atom: 0.2413


(2)
# ZnCu2Re | the Alexandria database | PBE-GGA | optimized geometry
data_ZnCu2Re
_cell_length_a 4.4929
_cell_length_b 4.4929
_cell_length_c 2.6483
_cell_angle_alpha 90.00
_cell_angle_beta 90.00
_cell_angle_gamma 90.00
_symmetry_space_group_name_H-M 'P 4/m m m'
_symmetry_Int_Tables_number 123
_symmetry_space_group_name_Hall '-P 4 2'
loop_
_atom_site_label
_atom_site_type_symbol
_atom_site_fract_x
_atom_site_fract_y
_atom_site_fract_z
Zn1 Zn 0.0000 0.0000 0.0000
Cu1 Cu 0.0000 0.5000 0.5000
Re1 Re 0.5000 0.5000 0.0000
# Mass density in kg/m³: 11764
# Distance to the lowest polymorph of the same formula in meV/atom: 172
# Raw total energy in eV per atom: -5.177
# E_form in eV/atom: 0.3017


(3)
# ZnCu2Re | the Alexandria database | PBE-GGA | optimized geometry
data_ZnCu2Re
_cell_length_a 2.6172
_cell_length_b 4.5366
_cell_length_c 8.9813
_cell_angle_alpha 90.00
_cell_angle_beta 90.00
_cell_angle_gamma 90.00
_symmetry_space_group_name_H-M 'I m m 2'
_symmetry_Int_Tables_number 44
loop_
_symmetry_equiv_pos_as_xyz
'x,y,z'
'-x,-y,z'
'-x,y,z'
'x,-y,z'
'x+1/2,y+1/2,z+1/2'
'-x+1/2,-y+1/2,z+1/2'
'-x+1/2,y+1/2,z+1/2'
'x+1/2,-y+1/2,z+1/2'
loop_
_atom_site_label
_atom_site_type_symbol
_atom_site_fract_x
_atom_site_fract_y
_atom_site_fract_z
Zn1 Zn 0.0000 0.0000 0.0000
Cu1 Cu 0.0000 0.0000 0.4764
Cu2 Cu 0.0000 0.5000 0.7399
Re1 Re 0.0000 0.5000 0.2349
# Mass density in kg/m³: 11795
# Distance to the lowest polymorph of the same formula in meV/atom: 133
# Raw total energy in eV per atom: -5.216
# E_form in eV/atom: 0.2622


(4)
# Zn2CuRe | the Alexandria database | PBE-GGA | optimized geometry
data_Zn2CuRe
_cell_length_a 6.0590
_cell_length_b 6.0590
_cell_length_c 6.0590
_cell_angle_alpha 90.00
_cell_angle_beta 90.00
_cell_angle_gamma 90.00
_symmetry_space_group_name_H-M 'F m -3 m'
_symmetry_Int_Tables_number 225
_symmetry_space_group_name_Hall '-F 4 2 3'
loop_
_atom_site_label
_atom_site_type_symbol
_atom_site_fract_x
_atom_site_fract_y
_atom_site_fract_z
Zn1 Zn 0.2500 0.2500 0.2500
Cu1 Cu 0.0000 0.0000 0.0000
Re1 Re 0.0000 0.0000 0.5000
# Mass density in kg/m³: 11365
# Distance to the lowest polymorph of the same formula in meV/atom: 330
# Raw total energy in eV per atom: -4.355
# E_form in eV/atom: 0.4184


(5)
# ZnCu3Re | the Alexandria database | PBE-GGA | optimized geometry
data_ZnCu3Re
_cell_length_a 4.6882
_cell_length_b 4.6882
_cell_length_c 4.6882
_cell_angle_alpha 90.00
_cell_angle_beta 90.00
_cell_angle_gamma 90.00
_symmetry_space_group_name_H-M 'P m -3 m'
_symmetry_Int_Tables_number 221
_symmetry_space_group_name_Hall '-P 4 2 3'
loop_
_atom_site_label
_atom_site_type_symbol
_atom_site_fract_x
_atom_site_fract_y
_atom_site_fract_z
Zn1 Zn 0.0000 0.0000 0.0000
Cu1 Cu 0.0000 0.5000 0.5000
Re1 Re 0.5000 0.5000 0.5000
# Mass density in kg/m³: 7127
# Distance to the lowest polymorph of the same formula in meV/atom: 190
# Raw total energy in eV per atom: -3.670
# E_form in eV/atom: 1.5321


(6)
# Zn2CuRe | the Alexandria database | PBE-GGA | optimized geometry
data_Zn2CuRe
_cell_length_a 3.7033
_cell_length_b 3.7033
_cell_length_c 8.0782
_cell_angle_alpha 90.00
_cell_angle_beta 90.00
_cell_angle_gamma 90.00
_symmetry_space_group_name_H-M 'I -4 m 2'
_symmetry_Int_Tables_number 119
_symmetry_space_group_name_Hall 'I -4 -2'
loop_
_atom_site_label
_atom_site_type_symbol
_atom_site_fract_x
_atom_site_fract_y
_atom_site_fract_z
Zn1 Zn 0.0000 0.0000 0.0000
Zn2 Zn 0.0000 0.5000 0.2500
Cu1 Cu 0.0000 0.5000 0.7500
Re1 Re 0.0000 0.0000 0.5000
# Mass density in kg/m³: 11408
# Distance to the lowest polymorph of the same formula in meV/atom: 264
# Raw total energy in eV per atom: -4.421
# E_form in eV/atom: 0.3522


(7)
# Zn2CuRe | the Alexandria database | PBE-GGA | optimized geometry
data_Zn2CuRe
_cell_length_a 3.1405
_cell_length_b 4.2057
_cell_length_c 8.4964
_cell_angle_alpha 90.00
_cell_angle_beta 90.00
_cell_angle_gamma 90.00
_symmetry_space_group_name_H-M 'C m m 2'
_symmetry_Int_Tables_number 35
loop_
_symmetry_equiv_pos_as_xyz
'x,y,z'
'-x,-y,z'
'-x,y,z'
'x,-y,z'
'x+1/2,y+1/2,z'
'-x+1/2,-y+1/2,z'
'-x+1/2,y+1/2,z'
'x+1/2,-y+1/2,z'
loop_
_atom_site_label
_atom_site_type_symbol
_atom_site_fract_x
_atom_site_fract_y
_atom_site_fract_z
Zn1 Zn 0.0000 0.0000 0.0000
Zn2 Zn 0.0000 0.5000 0.2583
Cu1 Cu 0.0000 0.5000 0.7649
Re1 Re 0.0000 0.0000 0.5156
# Mass density in kg/m³: 11262
# Distance to the lowest polymorph of the same formula in meV/atom: 70
# Raw total energy in eV per atom: -4.615
# E_form in eV/atom: 0.1582


(8)
# ZnCuRe4 | the Alexandria database | PBE-GGA | optimized geometry
data_ZnCuRe4
_cell_length_a 7.3109
_cell_length_b 7.3109
_cell_length_c 7.3109
_cell_angle_alpha 90.00
_cell_angle_beta 90.00
_cell_angle_gamma 90.00
_symmetry_space_group_name_H-M 'F -4 3 m'
_symmetry_Int_Tables_number 216
_symmetry_space_group_name_Hall 'F -4 2 3'
loop_
_atom_site_label
_atom_site_type_symbol
_atom_site_fract_x
_atom_site_fract_y
_atom_site_fract_z
Zn1 Zn 0.0000 0.0000 0.0000
Cu1 Cu 0.2500 0.2500 0.7500
Re1 Re 0.1247 0.1247 0.3753
# Mass density in kg/m³: 14852
# Raw total energy in eV per atom: -8.513
# E_form in eV/atom: 0.6807